The following is a PBE calculation of crystalline Ce2MgTe2N2 at its relaxed geometry, from the Alexandria database.

calculated total energy: -6.545 eV/atom

Lattice parameters (Å, degrees): 11.769 3.977 7.664 90.00 122.47 90.00
Fractional positions:
1 Ce 0.196 0.000 0.279
2 Ce 0.304 0.500 0.721
3 Ce 0.696 0.500 0.279
4 Ce 0.804 0.000 0.721
5 Mg 0.000 0.000 0.500
6 Mg 0.500 0.500 0.500
7 Te 0.070 0.500 0.840
8 Te 0.430 0.000 0.160
9 Te 0.570 0.000 0.840
10 Te 0.930 0.500 0.160
11 N 0.202 0.000 0.577
12 N 0.298 0.500 0.423
13 N 0.702 0.500 0.577
14 N 0.798 0.000 0.423

=====

The following is a PBE calculation of crystalline MgAs2Rh3 at its relaxed geometry, from the Alexandria database.

calculated formation energy: -0.486 eV per atom
calculated total energy: -5.977 eV/atom

Lattice parameters (Å, degrees): 8.464 8.464 9.486 106.59 106.59 27.20
Fractional positions:
1 Mg 0.000 0.000 0.000
2 Mg 0.170 0.170 0.722
3 Mg 0.830 0.830 0.278
4 As 0.184 0.184 0.122
5 As 0.362 0.362 0.540
6 As 0.453 0.453 0.215
7 As 0.547 0.547 0.785
8 As 0.638 0.638 0.460
9 As 0.816 0.816 0.878
10 Rh 0.028 0.028 0.311
11 Rh 0.213 0.213 0.395
12 Rh 0.313 0.313 0.049
13 Rh 0.387 0.387 0.807
14 Rh 0.500 0.500 0.500
15 Rh 0.613 0.613 0.193
16 Rh 0.687 0.687 0.951
17 Rh 0.787 0.787 0.605
18 Rh 0.972 0.972 0.689

=====

The following is a PBE calculation of crystalline AcGdTlAu at its relaxed geometry, from the Alexandria database.

calculated formation energy: -0.515 eV per atom
calculated total energy: -6.473 eV/atom

Lattice parameters (Å, degrees): 7.791 7.791 7.791 90.00 90.00 90.00
Fractional positions:
1 Ac 0.000 0.000 0.000
2 Ac 0.000 0.500 0.500
3 Ac 0.500 0.000 0.500
4 Ac 0.500 0.500 0.000
5 Gd 0.000 0.000 0.500
6 Gd 0.000 0.500 0.000
7 Gd 0.500 0.000 0.000
8 Gd 0.500 0.500 0.500
9 Tl 0.250 0.250 0.250
10 Tl 0.250 0.750 0.750
11 Tl 0.750 0.250 0.750
12 Tl 0.750 0.750 0.250
13 Au 0.250 0.250 0.750
14 Au 0.250 0.750 0.250
15 Au 0.750 0.250 0.250
16 Au 0.750 0.750 0.750

=====

The following is a PBE calculation of crystalline Tb2HoTmO6 at its relaxed geometry, from the Alexandria database.

calculated total energy: -8.360 eV/atom

Lattice parameters (Å, degrees): 6.051 6.051 6.051 57.24 57.24 57.24
Fractional positions:
1 Tb 0.000 0.000 0.000
2 Tb 0.499 0.499 0.499
3 Ho 0.217 0.217 0.217
4 Tm 0.716 0.716 0.716
5 O 0.099 0.410 0.822
6 O 0.324 0.906 0.603
7 O 0.410 0.822 0.099
8 O 0.603 0.324 0.906
9 O 0.822 0.099 0.410
10 O 0.906 0.603 0.324

=====

The following is a PBE calculation of crystalline VHRuRh2 at its relaxed geometry, from the Alexandria database.

polymorph energy (0 for the lowest one): 0 meV per atom
calculated total energy: -7.506 eV/atom

Lattice parameters (Å, degrees): 3.835 3.835 3.921 90.00 90.00 90.00
Fractional positions:
1 V 0.000 0.000 0.000
2 H 0.500 0.500 0.500
3 Ru 0.500 0.500 0.000
4 Rh 0.000 0.500 0.500
5 Rh 0.500 0.000 0.500

=====

The following is a PBE calculation of crystalline Cu2SnPd2 at its relaxed geometry, from the Alexandria database.

polymorph energy (0 for the lowest one): 0 meV per atom
calculated formation energy: -0.258 eV per atom
calculated total energy: -4.774 eV/atom

Lattice parameters (Å, degrees): 8.106 4.074 5.841 90.00 127.37 90.00
Fractional positions:
1 Cu 0.187 0.000 0.080
2 Cu 0.313 0.500 0.920
3 Cu 0.687 0.500 0.080
4 Cu 0.813 0.000 0.920
5 Sn 0.000 0.000 0.500
6 Sn 0.500 0.500 0.500
7 Pd 0.093 0.500 0.296
8 Pd 0.407 0.000 0.704
9 Pd 0.593 0.000 0.296
10 Pd 0.907 0.500 0.704

=====

The following is a PBE calculation of crystalline Nb2AuS at its relaxed geometry, from the Alexandria database.

calculated total energy: -6.620 eV/atom

Lattice parameters (Å, degrees): 4.848 4.848 14.866 90.00 90.00 90.00
Fractional positions:
1 Nb 0.183 0.250 0.125
2 Nb 0.250 0.683 0.375
3 Nb 0.250 0.817 0.875
4 Nb 0.317 0.250 0.625
5 Nb 0.683 0.750 0.625
6 Nb 0.750 0.183 0.875
7 Nb 0.750 0.317 0.375
8 Nb 0.817 0.750 0.125
9 Au 0.000 0.000 0.500
10 Au 0.000 0.500 0.750
11 Au 0.500 0.000 0.250
12 Au 0.500 0.500 0.000
13 S 0.000 0.000 0.000
14 S 0.000 0.500 0.250
15 S 0.500 0.000 0.750
16 S 0.500 0.500 0.500

=====

The following is a PBE calculation of crystalline Tb8HoSc2 at its relaxed geometry, from the Alexandria database.

polymorph energy (0 for the lowest one): 45 meV per atom
calculated formation energy: 0.168 eV per atom
calculated total energy: -4.766 eV/atom

Lattice parameters (Å, degrees): 9.089 9.089 5.775 105.39 105.39 121.64
Fractional positions:
1 Tb 0.097 0.337 0.674
2 Tb 0.208 0.792 0.000
3 Tb 0.337 0.097 0.674
4 Tb 0.427 0.427 0.207
5 Tb 0.573 0.573 0.793
6 Tb 0.663 0.903 0.326
7 Tb 0.792 0.208 0.000
8 Tb 0.903 0.663 0.326
9 Ho 0.000 0.000 0.000
10 Sc 0.310 0.690 0.500
11 Sc 0.690 0.310 0.500

=====

The following is a PBE calculation of crystalline BaCaMgW2 at its relaxed geometry, from the Alexandria database.

calculated formation energy: 2.179 eV per atom
calculated total energy: -4.106 eV/atom

Lattice parameters (Å, degrees): 5.017 5.017 5.598 90.00 90.00 90.00
Fractional positions:
1 Ba 0.000 0.000 0.000
2 Ca 0.500 0.500 0.500
3 Mg 0.500 0.500 0.000
4 W 0.000 0.500 0.500
5 W 0.500 0.000 0.500

=====

The following is a PBE calculation of crystalline AlTcPtCl2 at its relaxed geometry, from the Alexandria database.

calculated total energy: -4.061 eV/atom

Lattice parameters (Å, degrees): 4.330 4.330 5.877 90.00 90.00 90.00
Fractional positions:
1 Al 0.000 0.000 0.000
2 Tc 0.000 0.000 0.500
3 Pt 0.500 0.500 0.500
4 Cl 0.000 0.500 0.000
5 Cl 0.500 0.000 0.000

=====

The following is a PBE calculation of crystalline NdPb2Au at its relaxed geometry, from the Alexandria database.

polymorph energy (0 for the lowest one): 536 meV per atom
calculated formation energy: 0.047 eV per atom
calculated total energy: -3.818 eV/atom

Lattice parameters (Å, degrees): 3.609 3.609 32.242 90.00 90.00 120.00
Fractional positions:
1 Nd 0.000 0.000 0.000
2 Nd 0.333 0.667 0.667
3 Nd 0.667 0.333 0.333
4 Pb 0.000 0.000 0.101
5 Pb 0.000 0.000 0.899
6 Pb 0.333 0.667 0.566
7 Pb 0.333 0.667 0.767
8 Pb 0.667 0.333 0.233
9 Pb 0.667 0.333 0.434
10 Au 0.000 0.000 0.500
11 Au 0.333 0.667 0.167
12 Au 0.667 0.333 0.833

=====

The following is a PBE calculation of crystalline Rb2Zr2Cu at its relaxed geometry, from the Alexandria database.

polymorph energy (0 for the lowest one): 0 meV per atom
calculated formation energy: 0.779 eV per atom
calculated total energy: -3.847 eV/atom

Lattice parameters (Å, degrees): 4.001 4.001 23.735 90.00 90.00 90.00
Fractional positions:
1 Rb 0.000 0.000 0.092
2 Rb 0.000 0.000 0.908
3 Rb 0.500 0.500 0.408
4 Rb 0.500 0.500 0.592
5 Zr 0.000 0.500 0.250
6 Zr 0.000 0.500 0.750
7 Zr 0.500 0.000 0.250
8 Zr 0.500 0.000 0.750
9 Cu 0.000 0.000 0.500
10 Cu 0.500 0.500 0.000

=====

Copy entry 3 word for word.
The following is a PBE calculation of crystalline AcGdTlAu at its relaxed geometry, from the Alexandria database.

calculated formation energy: -0.515 eV per atom
calculated total energy: -6.473 eV/atom

Lattice parameters (Å, degrees): 7.791 7.791 7.791 90.00 90.00 90.00
Fractional positions:
1 Ac 0.000 0.000 0.000
2 Ac 0.000 0.500 0.500
3 Ac 0.500 0.000 0.500
4 Ac 0.500 0.500 0.000
5 Gd 0.000 0.000 0.500
6 Gd 0.000 0.500 0.000
7 Gd 0.500 0.000 0.000
8 Gd 0.500 0.500 0.500
9 Tl 0.250 0.250 0.250
10 Tl 0.250 0.750 0.750
11 Tl 0.750 0.250 0.750
12 Tl 0.750 0.750 0.250
13 Au 0.250 0.250 0.750
14 Au 0.250 0.750 0.250
15 Au 0.750 0.250 0.250
16 Au 0.750 0.750 0.750

=====

Repeat the ninth record exactly.
The following is a PBE calculation of crystalline BaCaMgW2 at its relaxed geometry, from the Alexandria database.

calculated formation energy: 2.179 eV per atom
calculated total energy: -4.106 eV/atom

Lattice parameters (Å, degrees): 5.017 5.017 5.598 90.00 90.00 90.00
Fractional positions:
1 Ba 0.000 0.000 0.000
2 Ca 0.500 0.500 0.500
3 Mg 0.500 0.500 0.000
4 W 0.000 0.500 0.500
5 W 0.500 0.000 0.500